# CeTmSe2

CeTmSe2 after structural relaxation (PBE, Alexandria).

Computed properties:
E_form (uncorrected): -1.760 eV/atom
crystal system: trigonal
space-group type: R-3m

Cell: 4.0627 4.0627 7.2629 Å, 73.76 73.76 60.00°
Positions (direct):
Tm 0.0000 0.0000 0.0000
Se 0.2559 0.2559 0.2322
Se 0.7441 0.7441 0.7678
Ce 0.5000 0.5000 0.5000

***

# CeY2Tm3Se6

CeY2Tm3Se6 after structural relaxation (PBE, Alexandria).

Computed properties:
E_form (uncorrected): -1.728 eV/atom
crystal system: monoclinic
space-group type: C2/m

Cell: 4.0414 8.2140 9.1274 Å, 103.60 102.79 90.00°
Positions (direct):
Ce 0.5000 0.0000 0.0000
Y 0.8365 0.6725 0.6729
Y 0.1635 0.3275 0.3271
Tm 0.5000 0.5000 0.0000
Tm 0.8355 0.1656 0.6710
Tm 0.1645 0.8344 0.3290
Se 0.3281 0.9191 0.6561
Se 0.6668 0.5870 0.3336
Se 0.6719 0.0809 0.3439
Se 0.9983 0.2614 0.9966
Se 0.0017 0.7386 0.0034
Se 0.3332 0.4130 0.6664

***

# CeYTm2Se4

CeYTm2Se4 after structural relaxation (PBE, Alexandria).

Computed properties:
E_form (uncorrected): -1.734 eV/atom
crystal system: monoclinic
space-group type: P2/m

Cell: 4.0360 7.1442 7.0453 Å, 71.14 90.00 90.00°
Positions (direct):
Ce 0.5000 0.5000 0.0000
Y 0.0000 0.5000 0.5000
Tm 0.0000 0.0000 0.0000
Tm 0.5000 0.0000 0.5000
Se 0.0000 0.7637 0.7411
Se 0.0000 0.2363 0.2589
Se 0.5000 0.7603 0.2506
Se 0.5000 0.2397 0.7494

***

- Which formula does entry 1 have?
  CeTmSe2

***

- Look up the E_form (uncorrected) of the second one.
  -1.728 eV/atom